--- a ---
First-principles (GGA-PBE) data for an optimized crystal structure of GeAuIO2, as listed in Alexandria via LeMat-Bulk.

Calculated values
- M_tot: 0.380 μB per formula unit

a b c (Å): 4.219 4.219 5.539
angles (deg): 90.00 90.00 90.00
Atoms (fractional coordinates):
Ge (0.000, 0.000, 0.000)
Au (0.500, 0.500, 0.500)
I (0.500, 0.500, 0.000)
O (0.000, 0.500, 0.500)
O (0.500, 0.000, 0.500)



--- b ---
First-principles (GGA-PBE) data for an optimized crystal structure of GeAuIO2, as listed in Alexandria via LeMat-Bulk.

Calculated values
- M_tot: 0.093 μB per formula unit

a b c (Å): 3.823 3.823 6.880
angles (deg): 90.00 90.00 90.00
Atoms (fractional coordinates):
Ge (0.000, 0.000, 0.000)
Au (0.500, 0.500, 0.500)
I (0.000, 0.000, 0.500)
O (0.000, 0.500, 0.000)
O (0.500, 0.000, 0.000)



Most stable to least stable, the ends of the list are b and a.



--- a ---
First-principles (GGA-PBE) data for an optimized crystal structure of GeSb2AuI, as listed in Alexandria via LeMat-Bulk.

Calculated values
- M_tot: 0.000 μB per formula unit

a b c (Å): 5.409 5.409 5.502
angles (deg): 90.00 90.00 90.00
Atoms (fractional coordinates):
Ge (0.000, 0.000, 0.000)
Sb (0.000, 0.500, 0.000)
Sb (0.500, 0.000, 0.000)
Au (0.500, 0.500, 0.500)
I (0.000, 0.000, 0.500)



--- b ---
First-principles (GGA-PBE) data for an optimized crystal structure of GeSb2AuI, as listed in Alexandria via LeMat-Bulk.

Calculated values
- M_tot: 0.404 μB per formula unit

a b c (Å): 5.401 5.401 5.600
angles (deg): 90.00 90.00 90.00
Atoms (fractional coordinates):
Ge (0.000, 0.000, 0.000)
Sb (0.000, 0.500, 0.500)
Sb (0.500, 0.000, 0.500)
Au (0.500, 0.500, 0.500)
I (0.500, 0.500, 0.000)



Most stable to least stable, the ends of the list are b and a.



--- a ---
First-principles (GGA-PBE) data for an optimized crystal structure of GeSbAuI2, as listed in Alexandria via LeMat-Bulk.

Calculated values
- M_tot: 0.738 μB per formula unit

a b c (Å): 5.559 5.559 5.656
angles (deg): 90.00 90.00 90.00
Atoms (fractional coordinates):
Ge (0.000, 0.000, 0.000)
Sb (0.000, 0.000, 0.500)
Au (0.500, 0.500, 0.500)
I (0.000, 0.500, 0.000)
I (0.500, 0.000, 0.000)



--- b ---
First-principles (GGA-PBE) data for an optimized crystal structure of GeSbAuI2, as listed in Alexandria via LeMat-Bulk.

Calculated values
- M_tot: 0.000 μB per formula unit

a b c (Å): 5.550 5.550 5.543
angles (deg): 90.00 90.00 90.00
Atoms (fractional coordinates):
Ge (0.000, 0.000, 0.000)
Sb (0.500, 0.500, 0.000)
Au (0.500, 0.500, 0.500)
I (0.000, 0.500, 0.500)
I (0.500, 0.000, 0.500)



Most stable to least stable, the ends of the list are b and a.



--- a ---
First-principles (GGA-PBE) data for an optimized crystal structure of GeTeAuI2, as listed in Alexandria via LeMat-Bulk.

Calculated values
- M_tot: 0.135 μB per formula unit

a b c (Å): 5.495 5.495 5.678
angles (deg): 90.00 90.00 90.00
Atoms (fractional coordinates):
Ge (0.000, 0.000, 0.000)
Te (0.500, 0.500, 0.000)
Au (0.500, 0.500, 0.500)
I (0.000, 0.500, 0.500)
I (0.500, 0.000, 0.500)



--- b ---
First-principles (GGA-PBE) data for an optimized crystal structure of GeTeAuI2, as listed in Alexandria via LeMat-Bulk.

Calculated values
- M_tot: 0.000 μB per formula unit

a b c (Å): 5.623 5.623 5.541
angles (deg): 90.00 90.00 90.00
Atoms (fractional coordinates):
Ge (0.000, 0.000, 0.000)
Te (0.000, 0.000, 0.500)
Au (0.500, 0.500, 0.500)
I (0.000, 0.500, 0.000)
I (0.500, 0.000, 0.000)



Most stable to least stable, the ends of the list are a and b.



--- a ---
First-principles (GGA-PBE) data for an optimized crystal structure of InGeAu3, as listed in Alexandria via LeMat-Bulk.

Calculated values
- M_tot: 0.000 μB per formula unit

a b c (Å): 4.972 4.972 4.972
angles (deg): 90.00 90.00 90.00
Atoms (fractional coordinates):
In (0.000, 0.000, 0.000)
Ge (0.500, 0.500, 0.500)
Au (0.000, 0.500, 0.500)
Au (0.500, 0.000, 0.500)
Au (0.500, 0.500, 0.000)



--- b ---
First-principles (GGA-PBE) data for an optimized crystal structure of InGeAu3, as listed in Alexandria via LeMat-Bulk.

Calculated values
- M_tot: 0.000 μB per formula unit

a b c (Å): 5.152 5.152 5.152
angles (deg): 90.00 90.00 90.00
Atoms (fractional coordinates):
In (0.000, 0.000, 0.000)
Ge (0.500, 0.500, 0.500)
Au (0.000, 0.000, 0.500)
Au (0.000, 0.500, 0.000)
Au (0.500, 0.000, 0.000)



--- c ---
First-principles (GGA-PBE) data for an optimized crystal structure of InGeAu3, as listed in Alexandria via LeMat-Bulk.

Calculated values
- M_tot: 0.000 μB per formula unit

a b c (Å): 5.093 7.272 5.764
angles (deg): 90.00 99.07 90.00
Atoms (fractional coordinates):
In (0.144, 0.250, 0.076)
In (0.856, 0.750, 0.924)
Ge (0.439, 0.750, 0.334)
Ge (0.561, 0.250, 0.666)
Au (0.033, 0.250, 0.552)
Au (0.338, 0.554, 0.787)
Au (0.338, 0.946, 0.787)
Au (0.662, 0.054, 0.213)
Au (0.662, 0.446, 0.213)
Au (0.967, 0.750, 0.448)



Most stable to least stable, the ends of the list are c and b.



--- a ---
First-principles (GGA-PBE) data for an optimized crystal structure of In2GeAu4, as listed in Alexandria via LeMat-Bulk.

Calculated values
- M_tot: 0.000 μB per formula unit

a b c (Å): 6.208 6.953 7.119
angles (deg): 85.05 89.61 85.43
Atoms (fractional coordinates):
In (0.183, 0.327, 0.368)
In (0.273, 0.838, 0.266)
In (0.727, 0.162, 0.734)
In (0.817, 0.673, 0.632)
Ge (0.228, 0.285, 0.837)
Ge (0.772, 0.715, 0.163)
Au (0.105, 0.680, 0.951)
Au (0.178, 0.996, 0.636)
Au (0.321, 0.589, 0.607)
Au (0.484, 0.172, 0.113)
Au (0.516, 0.828, 0.887)
Au (0.679, 0.411, 0.393)
Au (0.822, 0.004, 0.364)
Au (0.895, 0.320, 0.049)



--- b ---
First-principles (GGA-PBE) data for an optimized crystal structure of In2GeAu4, as listed in Alexandria via LeMat-Bulk.

Calculated values
- M_tot: 0.000 μB per formula unit

a b c (Å): 8.351 8.351 8.351
angles (deg): 32.63 32.63 32.63
Atoms (fractional coordinates):
In (0.242, 0.242, 0.242)
In (0.758, 0.758, 0.758)
Ge (0.000, 0.000, 0.000)
Au (0.124, 0.124, 0.124)
Au (0.373, 0.373, 0.373)
Au (0.627, 0.627, 0.627)
Au (0.876, 0.876, 0.876)



Most stable to least stable, the ends of the list are a and b.



--- a ---
First-principles (GGA-PBE) data for an optimized crystal structure of In2GeAu2, as listed in Alexandria via LeMat-Bulk.

Calculated values
- M_tot: 0.000 μB per formula unit

a b c (Å): 8.088 8.088 8.088
angles (deg): 152.32 152.32 39.54
Atoms (fractional coordinates):
In (0.101, 0.101, 0.000)
In (0.899, 0.899, 0.000)
Ge (0.500, 0.500, 0.000)
Au (0.250, 0.750, 0.500)
Au (0.750, 0.250, 0.500)



--- b ---
First-principles (GGA-PBE) data for an optimized crystal structure of In2GeAu2, as listed in Alexandria via LeMat-Bulk.

Calculated values
- M_tot: 0.000 μB per formula unit

a b c (Å): 8.552 8.552 2.983
angles (deg): 90.00 90.00 90.00
Atoms (fractional coordinates):
In (0.143, 0.357, 0.000)
In (0.357, 0.857, 0.000)
In (0.643, 0.143, 0.000)
In (0.857, 0.643, 0.000)
Ge (0.000, 0.000, 0.000)
Ge (0.500, 0.500, 0.000)
Au (0.155, 0.655, 0.500)
Au (0.345, 0.155, 0.500)
Au (0.655, 0.845, 0.500)
Au (0.845, 0.345, 0.500)



--- c ---
First-principles (GGA-PBE) data for an optimized crystal structure of In2GeAu2, as listed in Alexandria via LeMat-Bulk.

Calculated values
- M_tot: 0.000 μB per formula unit

a b c (Å): 7.101 7.101 7.101
angles (deg): 145.17 145.17 50.07
Atoms (fractional coordinates):
In (0.250, 0.750, 0.500)
In (0.750, 0.250, 0.500)
Ge (0.000, 0.000, 0.000)
Au (0.396, 0.396, 0.000)
Au (0.604, 0.604, 0.000)



--- d ---
First-principles (GGA-PBE) data for an optimized crystal structure of In2GeAu2, as listed in Alexandria via LeMat-Bulk.

Calculated values
- M_tot: 0.000 μB per formula unit

a b c (Å): 7.275 7.275 4.217
angles (deg): 90.00 90.00 90.00
Atoms (fractional coordinates):
In (0.167, 0.333, 0.000)
In (0.333, 0.833, 0.000)
In (0.667, 0.167, 0.000)
In (0.833, 0.667, 0.000)
Ge (0.000, 0.000, 0.500)
Ge (0.500, 0.500, 0.500)
Au (0.140, 0.640, 0.500)
Au (0.360, 0.140, 0.500)
Au (0.640, 0.860, 0.500)
Au (0.860, 0.360, 0.500)



Most stable to least stable, the ends of the list are d and c.



--- a ---
First-principles (GGA-PBE) data for an optimized crystal structure of In3GeAu, as listed in Alexandria via LeMat-Bulk.

Calculated values
- M_tot: 0.000 μB per formula unit

a b c (Å): 5.318 5.318 5.318
angles (deg): 90.00 90.00 90.00
Atoms (fractional coordinates):
In (0.000, 0.000, 0.500)
In (0.000, 0.500, 0.000)
In (0.500, 0.000, 0.000)
Ge (0.500, 0.500, 0.500)
Au (0.000, 0.000, 0.000)



--- b ---
First-principles (GGA-PBE) data for an optimized crystal structure of In3GeAu, as listed in Alexandria via LeMat-Bulk.

Calculated values
- M_tot: 0.000 μB per formula unit

a b c (Å): 5.365 5.365 5.365
angles (deg): 90.00 90.00 90.00
Atoms (fractional coordinates):
In (0.000, 0.000, 0.500)
In (0.000, 0.500, 0.000)
In (0.500, 0.000, 0.000)
Ge (0.000, 0.000, 0.000)
Au (0.500, 0.500, 0.500)



Most stable to least stable, the ends of the list are a and b.



--- a ---
First-principles (GGA-PBE) data for an optimized crystal structure of InGeAu4, as listed in Alexandria via LeMat-Bulk.

Calculated values
- M_tot: 0.000 μB per formula unit

a b c (Å): 3.922 5.688 10.967
angles (deg): 90.00 95.41 90.00
Atoms (fractional coordinates):
In (0.226, 0.250, 0.420)
In (0.774, 0.750, 0.580)
Ge (0.361, 0.750, 0.061)
Ge (0.639, 0.250, 0.939)
Au (0.178, 0.250, 0.096)
Au (0.236, 0.750, 0.391)
Au (0.291, 0.502, 0.753)
Au (0.291, 0.998, 0.753)
Au (0.709, 0.002, 0.247)
Au (0.709, 0.498, 0.247)
Au (0.764, 0.250, 0.609)
Au (0.822, 0.750, 0.904)



--- b ---
First-principles (GGA-PBE) data for an optimized crystal structure of InGeAu4, as listed in Alexandria via LeMat-Bulk.

Calculated values
- M_tot: 0.000 μB per formula unit

a b c (Å): 6.686 6.686 6.067
angles (deg): 97.74 97.74 69.24
Atoms (fractional coordinates):
In (0.172, 0.172, 0.230)
In (0.828, 0.828, 0.770)
Ge (0.450, 0.450, 0.696)
Ge (0.550, 0.550, 0.304)
Au (0.172, 0.582, 0.065)
Au (0.189, 0.811, 0.500)
Au (0.220, 0.220, 0.698)
Au (0.418, 0.828, 0.935)
Au (0.582, 0.172, 0.065)
Au (0.780, 0.780, 0.302)
Au (0.811, 0.189, 0.500)
Au (0.828, 0.418, 0.935)



--- c ---
First-principles (GGA-PBE) data for an optimized crystal structure of InGeAu4, as listed in Alexandria via LeMat-Bulk.

Calculated values
- M_tot: 0.000 μB per formula unit

a b c (Å): 5.583 5.583 5.583
angles (deg): 60.00 60.00 60.00
Atoms (fractional coordinates):
In (0.000, 0.000, 0.000)
Ge (0.250, 0.250, 0.250)
Au (0.125, 0.625, 0.625)
Au (0.625, 0.125, 0.625)
Au (0.625, 0.625, 0.125)
Au (0.625, 0.625, 0.625)



Most stable to least stable, the ends of the list are b and c.



--- a ---
First-principles (GGA-PBE) data for an optimized crystal structure of Ge2IrAu2, as listed in Alexandria via LeMat-Bulk.

Calculated values
- M_tot: 0.000 μB per formula unit

a b c (Å): 7.296 7.296 3.352
angles (deg): 90.00 90.00 90.00
Atoms (fractional coordinates):
Ge (0.174, 0.326, 0.000)
Ge (0.326, 0.826, 0.000)
Ge (0.674, 0.174, 0.000)
Ge (0.826, 0.674, 0.000)
Ir (0.000, 0.000, 0.500)
Ir (0.500, 0.500, 0.500)
Au (0.136, 0.636, 0.500)
Au (0.364, 0.136, 0.500)
Au (0.636, 0.864, 0.500)
Au (0.864, 0.364, 0.500)



--- b ---
First-principles (GGA-PBE) data for an optimized crystal structure of Ge2IrAu2, as listed in Alexandria via LeMat-Bulk.

Calculated values
- M_tot: 0.000 μB per formula unit

a b c (Å): 7.387 7.387 7.387
angles (deg): 151.52 151.52 40.71
Atoms (fractional coordinates):
Ge (0.250, 0.750, 0.500)
Ge (0.750, 0.250, 0.500)
Ir (0.000, 0.000, 0.000)
Au (0.402, 0.402, 0.000)
Au (0.598, 0.598, 0.000)



--- c ---
First-principles (GGA-PBE) data for an optimized crystal structure of Ge2IrAu2, as listed in Alexandria via LeMat-Bulk.

Calculated values
- M_tot: 0.000 μB per formula unit

a b c (Å): 6.362 6.362 4.529
angles (deg): 90.00 90.00 90.00
Atoms (fractional coordinates):
Ge (0.134, 0.366, 0.000)
Ge (0.366, 0.866, 0.000)
Ge (0.634, 0.134, 0.000)
Ge (0.866, 0.634, 0.000)
Ir (0.000, 0.000, 0.000)
Ir (0.500, 0.500, 0.000)
Au (0.232, 0.732, 0.500)
Au (0.268, 0.232, 0.500)
Au (0.732, 0.768, 0.500)
Au (0.768, 0.268, 0.500)



Most stable to least stable, the ends of the list are c and b.